# 1
Entry from Alexandria: a relaxed Hf3BAs crystal (PBE-GGA).

Cell: 4.539 4.539 4.539 Å, 90.00 90.00 90.00°
Atoms (fractional coordinates):
As 0.500 0.500 0.500
B 0.000 0.000 0.000
Hf 0.000 0.500 0.000
Hf 0.000 0.000 0.500
Hf 0.500 0.000 0.000

Calculated values
Uncorrected energy: -42.4 eV/cell
SG: Pm-3m
V: 18.71 Å³ per atom
Formation energy from the elements: -23.1 kJ/mol of atoms
ΔE to the lowest computed polymorph: 32.0 kJ per mole of atoms



# 2
Entry from Alexandria: a relaxed Pr4Nd3Dy5 crystal (PBE-GGA).

Cell: 6.035 8.674 9.838 Å, 105.67 72.14 69.64°
Atoms (fractional coordinates):
Pr 0.861 0.224 0.055
Pr 0.171 0.040 0.618
Pr 0.829 0.960 0.382
Pr 0.139 0.776 0.945
Nd 0.523 0.688 0.267
Nd 0.000 0.500 0.500
Nd 0.477 0.312 0.733
Dy 0.626 0.945 0.803
Dy 0.500 0.500 0.500
Dy 0.215 0.456 0.113
Dy 0.785 0.544 0.887
Dy 0.374 0.055 0.197

Calculated values
Uncorrected energy: -53.9 eV/cell
SG: C2/m
V: 34.71 Å³ per atom
Formation energy from the elements: 20.4 kJ/mol of atoms
ΔE to the lowest computed polymorph: 18.9 kJ per mole of atoms



# 3
Entry from Alexandria: a relaxed CsTh2Te3 crystal (PBE-GGA).

Cell: 4.250 8.056 8.056 Å, 120.00 90.00 90.00°
Atoms (fractional coordinates):
Cs 0.000 0.000 0.000
Th 0.000 0.667 0.333
Th 0.000 0.333 0.667
Te 0.500 0.000 0.500
Te 0.500 0.500 0.500
Te 0.500 0.500 0.000

Calculated values
Uncorrected energy: -30.7 eV/cell
SG: P6/mmm
V: 39.81 Å³ per atom
ΔE to the lowest computed polymorph: 1.8 kJ per mole of atoms